[1]
# SmHf2Co9

SmHf2Co9 after structural relaxation (PBE, Alexandria).

Formation energy from the elements (meV per atom): -245.8

a = 4.9014 Å, b = 4.9014 Å, c = 8.4000 Å
α = 73.04°, β = 73.04°, γ = 60.00°
Closest atoms and distances in Å follow each position.
Fractional coordinates of all 12 atoms:
Co (0.5000, 0.5000, 0.5000)  6 Co 2.41
Co (0.4111, 0.9219, 0.2560)  7 Co 2.40-2.50
Co (0.6641, 0.6641, 0.0077)  6 Co 2.44-2.50
Co (0.3359, 0.3359, 0.9923)  6 Co 2.44-2.50
Co (0.5889, 0.5889, 0.7440)  7 Co 2.40-2.50
Co (0.0781, 0.5889, 0.7440)  7 Co 2.40-2.50
Co (0.5889, 0.0781, 0.7440)  7 Co 2.40-2.50
Co (0.9219, 0.4111, 0.2560)  7 Co 2.40-2.50
Co (0.4111, 0.4111, 0.2560)  7 Co 2.40-2.50
Hf (0.8595, 0.8595, 0.4215)  12 Co 2.78-2.90, 3 Hf 3.09
Hf (0.1405, 0.1405, 0.5785)  12 Co 2.78-2.90, 3 Hf 3.09
Sm (0.0000, 0.0000, 0.0000)  6 Co 2.83

[2]
# InSi2Sn2Rh5

InSi2Sn2Rh5 after structural relaxation (PBE, Alexandria).

ΔE_f (raw) (meV per atom): -403

a = 3.4461 Å, b = 9.7999 Å, c = 9.7999 Å
α = 90.00°, β = 90.00°, γ = 90.00°
Closest atoms and distances in Å follow each position.
Fractional coordinates of all 20 atoms:
Sn (0.0000, 0.1742, 0.3258)  3 Si 2.77-2.98, 6 Rh 2.97-3.00
Sn (0.0000, 0.6742, 0.1742)  3 Si 2.77-2.98, 6 Rh 2.97-3.00
Sn (0.0000, 0.8258, 0.6742)  3 Si 2.77-2.98, 6 Rh 2.97-3.00
Sn (0.0000, 0.3258, 0.8258)  3 Si 2.77-2.98, 6 Rh 2.97-3.00
Rh (0.5000, 0.2121, 0.0782)  2 Si 2.39
Rh (0.5000, 0.0000, 0.5000)  4 Si 2.45
Rh (0.5000, 0.4218, 0.2879)  2 Si 2.39
Rh (0.5000, 0.7121, 0.4218)  2 Si 2.39
Rh (0.5000, 0.5782, 0.7121)  2 Si 2.39
Rh (0.5000, 0.9218, 0.2121)  2 Si 2.39
Rh (0.5000, 0.7879, 0.9218)  2 Si 2.39
Rh (0.5000, 0.2879, 0.5782)  2 Si 2.39
Rh (0.5000, 0.5000, 0.0000)  4 Si 2.45
Rh (0.5000, 0.0782, 0.7879)  2 Si 2.39
In (0.0000, 0.5000, 0.5000)  8 Rh 2.81
In (0.0000, 0.0000, 0.0000)  8 Rh 2.81
Si (0.0000, 0.1259, 0.6259)  6 Rh 2.39-2.45
Si (0.0000, 0.8741, 0.3741)  6 Rh 2.39-2.45
Si (0.0000, 0.3741, 0.1259)  6 Rh 2.39-2.45
Si (0.0000, 0.6259, 0.8741)  6 Rh 2.39-2.45

[3]
# V2HPtRh

V2HPtRh after structural relaxation (PBE, Alexandria).

Distance to the lowest polymorph of the same formula (kJ/mol of atoms): 7.07

a = 3.8658 Å, b = 3.8658 Å, c = 3.8805 Å
α = 90.00°, β = 90.00°, γ = 90.00°
Closest atoms and distances in Å follow each position.
Fractional coordinates of all 5 atoms:
V (0.5000, 0.0000, 0.0000)  2 H 1.93
V (0.0000, 0.5000, 0.0000)  2 H 1.93
Pt (0.0000, 0.0000, 0.5000)  2 H 1.94
H (0.0000, 0.0000, 0.0000)  4 V 1.93, 2 Pt 1.94
Rh (0.5000, 0.5000, 0.5000)  4 Pt 2.73, 8 V 2.74

no.,size of the total moment (μB/f.u.)
1,9.57
2,0.00
3,0.00